[1]
## Cs2IrBr (GGA-PBEsol)

Data for a relaxed Cs2IrBr crystal.

abc: 6.012 6.012 6.012
angles: 60.00 60.00 60.00
Fractional positions:
Cs (0.250, 0.250, 0.250)
Cs (0.750, 0.750, 0.750)
Ir (0.000, 0.000, 0.000)
Br (0.500, 0.500, 0.500)

Calculated values
* magnetic moment: 2.00 μB/cell

=====

[2]
## CsIrBr2 (GGA-PBEsol)

Data for a relaxed CsIrBr2 crystal.

abc: 9.059 9.059 9.059
angles: 26.85 26.85 26.85
Fractional positions:
Cs (0.000, 0.000, 0.000)
Ir (0.500, 0.500, 0.500)
Br (0.127, 0.127, 0.127)
Br (0.873, 0.873, 0.873)

Calculated values
* magnetic moment: 0.00 μB/cell
* offset from the most stable computed form: 0.273 eV per atom

=====

[3]
## CsKBr2 (GGA-PBEsol)

Data for a relaxed CsKBr2 crystal.

abc: 5.819 5.819 5.819
angles: 60.00 60.00 60.00
Fractional positions:
Cs (0.000, 0.000, 0.000)
K (0.500, 0.500, 0.500)
Br (0.250, 0.250, 0.250)
Br (0.750, 0.750, 0.750)

Calculated values
* magnetic moment: 0.07 μB/cell

=====

[4]
## Cs2KMoBr6 (GGA-PBEsol)

Data for a relaxed Cs2KMoBr6 crystal.

abc: 7.955 7.955 7.955
angles: 60.00 60.00 60.00
Fractional positions:
Cs (0.250, 0.250, 0.250)
Cs (0.750, 0.750, 0.750)
K (0.000, 0.000, 0.000)
Mo (0.500, 0.500, 0.500)
Br (0.272, 0.272, 0.728)
Br (0.272, 0.728, 0.272)
Br (0.272, 0.728, 0.728)
Br (0.728, 0.272, 0.272)
Br (0.728, 0.272, 0.728)
Br (0.728, 0.728, 0.272)

Calculated values
* magnetic moment: 3.00 μB/cell

=====

[5]
## Cs2KNdBr6 (GGA-PBEsol)

Data for a relaxed Cs2KNdBr6 crystal.

abc: 8.363 8.363 8.363
angles: 60.00 60.00 60.00
Fractional positions:
Cs (0.250, 0.250, 0.250)
Cs (0.750, 0.750, 0.750)
K (0.000, 0.000, 0.000)
Nd (0.500, 0.500, 0.500)
Br (0.260, 0.260, 0.740)
Br (0.260, 0.740, 0.260)
Br (0.260, 0.740, 0.740)
Br (0.740, 0.260, 0.260)
Br (0.740, 0.260, 0.740)
Br (0.740, 0.740, 0.260)

Calculated values
* magnetic moment: 0.00 μB/cell

=====

[6]
## Cs2KPrBr6 (GGA-PBEsol)

Data for a relaxed Cs2KPrBr6 crystal.

abc: 8.396 8.396 8.396
angles: 60.00 60.00 60.00
Fractional positions:
Cs (0.250, 0.250, 0.250)
Cs (0.750, 0.750, 0.750)
K (0.000, 0.000, 0.000)
Pr (0.500, 0.500, 0.500)
Br (0.259, 0.259, 0.741)
Br (0.259, 0.741, 0.259)
Br (0.259, 0.741, 0.741)
Br (0.741, 0.259, 0.259)
Br (0.741, 0.259, 0.741)
Br (0.741, 0.741, 0.259)

Calculated values
* magnetic moment: 0.00 μB/cell

=====

[7]
## Cs2KScBr6 (GGA-PBEsol)

Data for a relaxed Cs2KScBr6 crystal.

abc: 8.038 8.038 8.038
angles: 60.00 60.00 60.00
Fractional positions:
Cs (0.250, 0.250, 0.250)
Cs (0.750, 0.750, 0.750)
K (0.000, 0.000, 0.000)
Sc (0.500, 0.500, 0.500)
Br (0.269, 0.269, 0.731)
Br (0.269, 0.731, 0.269)
Br (0.269, 0.731, 0.731)
Br (0.731, 0.269, 0.269)
Br (0.731, 0.269, 0.731)
Br (0.731, 0.731, 0.269)

Calculated values
* magnetic moment: 0.00 μB/cell

=====

[8]
## Cs2KTlBr6 (GGA-PBEsol)

Data for a relaxed Cs2KTlBr6 crystal.

abc: 8.181 8.181 8.181
angles: 60.00 60.00 60.00
Fractional positions:
Cs (0.250, 0.250, 0.250)
Cs (0.750, 0.750, 0.750)
K (0.000, 0.000, 0.000)
Tl (0.500, 0.500, 0.500)
Br (0.264, 0.264, 0.736)
Br (0.264, 0.736, 0.264)
Br (0.264, 0.736, 0.736)
Br (0.736, 0.264, 0.264)
Br (0.736, 0.264, 0.736)
Br (0.736, 0.736, 0.264)

Calculated values
* magnetic moment: 0.00 μB/cell

=====

Here are the calculated energy relative to the elements, uncorrected numbers, same order: 0.3139, 0.1681, -1.6991, -1.2637, -1.8126, -1.8075, -1.7786, -1.2518 (eV/atom).